Pm2YHo8: relaxed, GGA-PBE.

## Properties
- E: -50.9 eV per formula unit
- Distance to the lowest polymorph of the same formula: 0 meV/atom

a b c (Å): 5.886 9.041 9.234
angles (deg): 60.69 74.24 56.31
Atoms (fractional coordinates):
Pm1 0.000 0.307 0.385
Pm2 0.000 0.693 0.615
Y1 0.500 0.000 0.000
Ho1 0.822 0.098 0.234
Ho2 0.822 0.332 0.766
Ho3 0.295 0.431 0.000
Ho4 0.500 0.793 0.414
Ho5 0.500 0.207 0.586
Ho6 0.705 0.569 0.000
Ho7 0.178 0.668 0.234
Ho8 0.178 0.902 0.766

BeCo2Si: relaxed, GGA-PBE.

## Properties
- E: -24.4 eV per formula unit
- Raw formation energy: -0.25 eV/atom
- Distance to the lowest polymorph of the same formula: 343 meV/atom

a b c (Å): 3.918 3.918 4.350
angles (deg): 78.42 78.42 38.57
Site moments in Bohr magnetons follow the coordinates.
Atoms (fractional coordinates):
Be1 0.250 0.250 0.250  -0.01
Si1 0.750 0.750 0.750  0.00
Co1 0.999 0.999 0.009  0.54
Co2 0.501 0.501 0.491  0.54